[1]
{"formula": "RbU4", "functional": "PBE", "state": "optimized geometry", "dft_energy_ev_per_atom": -6.7740, "space_group": "Pm-3m", "delta_e_f_mev_per_atom": 2450, "cell": [[-4.608, 0.151, 2.606], [-1.231, -4.788, -1.900], [2.302, -2.259, 4.201]], "species": ["U", "U", "U", "U", "Rb"], "frac_coords": [[0.000, 0.000, 0.000], [0.000, 0.500, 0.500], [0.500, 0.000, 0.500], [0.500, 0.500, 0.000], [0.500, 0.500, 0.500]]}

[2]
{"formula": "TlBr2", "functional": "PBE", "state": "optimized geometry", "raw_formation_energy_ev_per_fu": -1.566, "dft_energy_ev_per_atom": -2.4261, "space_group": "Pnnm", "cell": [[4.448, 0.000, 0.000], [0.000, 7.086, 0.000], [0.000, 0.000, 7.058]], "species": ["Tl", "Tl", "Br", "Br", "Br", "Br"], "frac_coords": [[0.000, 0.000, 0.000], [0.500, 0.500, 0.500], [0.500, 0.800, 0.790], [0.000, 0.300, 0.710], [0.000, 0.700, 0.290], [0.500, 0.200, 0.210]]}